{
  "formula": "ZrBeSnOs",
  "functional": "PBE-GGA",
  "state": "optimized geometry",
  "energy_ev_per_atom": -6.742,
  "rho_g_cm3": 10.139,
  "cell": [[6.448, 0.000, 0.000], [0.000, 6.448, 0.000], [0.000, 0.000, 6.448]],
  "species": ["Zr", "Zr", "Zr", "Zr", "Be", "Be", "Be", "Be", "Sn", "Sn", "Sn", "Sn", "Os", "Os", "Os", "Os"],
  "frac_coords": [[0.000, 0.000, 0.000], [0.000, 0.500, 0.500], [0.500, 0.000, 0.500], [0.500, 0.500, 0.000], [0.000, 0.000, 0.500], [0.000, 0.500, 0.000], [0.500, 0.000, 0.000], [0.500, 0.500, 0.500], [0.250, 0.250, 0.750], [0.250, 0.750, 0.250], [0.750, 0.250, 0.250], [0.750, 0.750, 0.750], [0.250, 0.250, 0.250], [0.250, 0.750, 0.750], [0.750, 0.250, 0.750], [0.750, 0.750, 0.250]]
}



{
  "formula": "ZrBeSnOs",
  "functional": "PBE-GGA",
  "state": "optimized geometry",
  "energy_ev_per_atom": -6.970,
  "rho_g_cm3": 10.259,
  "cell": [[6.423, 0.000, 0.000], [0.000, 6.423, 0.000], [0.000, 0.000, 6.423]],
  "species": ["Zr", "Zr", "Zr", "Zr", "Be", "Be", "Be", "Be", "Sn", "Sn", "Sn", "Sn", "Os", "Os", "Os", "Os"],
  "frac_coords": [[0.000, 0.000, 0.000], [0.000, 0.500, 0.500], [0.500, 0.000, 0.500], [0.500, 0.500, 0.000], [0.250, 0.250, 0.250], [0.250, 0.750, 0.750], [0.750, 0.250, 0.750], [0.750, 0.750, 0.250], [0.000, 0.000, 0.500], [0.000, 0.500, 0.000], [0.500, 0.000, 0.000], [0.500, 0.500, 0.500], [0.250, 0.250, 0.750], [0.250, 0.750, 0.250], [0.750, 0.250, 0.250], [0.750, 0.750, 0.750]]
}



{
  "formula": "SrBeTeOs",
  "functional": "PBE-GGA",
  "state": "optimized geometry",
  "energy_ev_per_atom": -4.043,
  "rho_g_cm3": 8.282,
  "cell": [[6.927, 0.000, 0.000], [0.000, 6.927, 0.000], [0.000, 0.000, 6.927]],
  "species": ["Sr", "Sr", "Sr", "Sr", "Be", "Be", "Be", "Be", "Te", "Te", "Te", "Te", "Os", "Os", "Os", "Os"],
  "frac_coords": [[0.000, 0.000, 0.000], [0.000, 0.500, 0.500], [0.500, 0.000, 0.500], [0.500, 0.500, 0.000], [0.000, 0.000, 0.500], [0.000, 0.500, 0.000], [0.500, 0.000, 0.000], [0.500, 0.500, 0.500], [0.250, 0.250, 0.750], [0.250, 0.750, 0.250], [0.750, 0.250, 0.250], [0.750, 0.750, 0.750], [0.250, 0.250, 0.250], [0.250, 0.750, 0.750], [0.750, 0.250, 0.750], [0.750, 0.750, 0.250]]
}



{
  "formula": "SrBeTeOs",
  "functional": "PBE-GGA",
  "state": "optimized geometry",
  "energy_ev_per_atom": -4.447,
  "rho_g_cm3": 8.916,
  "cell": [[6.759, 0.000, 0.000], [0.000, 6.759, 0.000], [0.000, 0.000, 6.759]],
  "species": ["Sr", "Sr", "Sr", "Sr", "Be", "Be", "Be", "Be", "Te", "Te", "Te", "Te", "Os", "Os", "Os", "Os"],
  "frac_coords": [[0.000, 0.000, 0.000], [0.000, 0.500, 0.500], [0.500, 0.000, 0.500], [0.500, 0.500, 0.000], [0.250, 0.250, 0.250], [0.250, 0.750, 0.750], [0.750, 0.250, 0.750], [0.750, 0.750, 0.250], [0.250, 0.250, 0.750], [0.250, 0.750, 0.250], [0.750, 0.250, 0.250], [0.750, 0.750, 0.750], [0.000, 0.000, 0.500], [0.000, 0.500, 0.000], [0.500, 0.000, 0.000], [0.500, 0.500, 0.500]]
}



{
  "formula": "SrBeOsW",
  "functional": "PBE-GGA",
  "state": "optimized geometry",
  "energy_ev_per_atom": -6.425,
  "rho_g_cm3": 11.182,
  "cell": [[6.539, 0.000, 0.000], [0.000, 6.539, 0.000], [0.000, 0.000, 6.539]],
  "species": ["Sr", "Sr", "Sr", "Sr", "Be", "Be", "Be", "Be", "Os", "Os", "Os", "Os", "W", "W", "W", "W"],
  "frac_coords": [[0.000, 0.000, 0.000], [0.000, 0.500, 0.500], [0.500, 0.000, 0.500], [0.500, 0.500, 0.000], [0.250, 0.250, 0.750], [0.250, 0.750, 0.250], [0.750, 0.250, 0.250], [0.750, 0.750, 0.750], [0.250, 0.250, 0.250], [0.250, 0.750, 0.750], [0.750, 0.250, 0.750], [0.750, 0.750, 0.250], [0.000, 0.000, 0.500], [0.000, 0.500, 0.000], [0.500, 0.000, 0.000], [0.500, 0.500, 0.500]]
}



{
  "formula": "SrBeOsW",
  "functional": "PBE-GGA",
  "state": "optimized geometry",
  "energy_ev_per_atom": -5.845,
  "rho_g_cm3": 11.760,
  "cell": [[6.430, 0.000, 0.000], [0.000, 6.430, 0.000], [0.000, 0.000, 6.430]],
  "species": ["Sr", "Sr", "Sr", "Sr", "Be", "Be", "Be", "Be", "Os", "Os", "Os", "Os", "W", "W", "W", "W"],
  "frac_coords": [[0.000, 0.000, 0.000], [0.000, 0.500, 0.500], [0.500, 0.000, 0.500], [0.500, 0.500, 0.000], [0.000, 0.000, 0.500], [0.000, 0.500, 0.000], [0.500, 0.000, 0.000], [0.500, 0.500, 0.500], [0.250, 0.250, 0.750], [0.250, 0.750, 0.250], [0.750, 0.250, 0.250], [0.750, 0.750, 0.750], [0.250, 0.250, 0.250], [0.250, 0.750, 0.750], [0.750, 0.250, 0.750], [0.750, 0.750, 0.250]]
}



{
  "formula": "SrBeOsW",
  "functional": "PBE-GGA",
  "state": "optimized geometry",
  "energy_ev_per_atom": -6.557,
  "rho_g_cm3": 11.683,
  "cell": [[6.444, 0.000, 0.000], [0.000, 6.444, 0.000], [0.000, 0.000, 6.444]],
  "species": ["Sr", "Sr", "Sr", "Sr", "Be", "Be", "Be", "Be", "Os", "Os", "Os", "Os", "W", "W", "W", "W"],
  "frac_coords": [[0.000, 0.000, 0.000], [0.000, 0.500, 0.500], [0.500, 0.000, 0.500], [0.500, 0.500, 0.000], [0.250, 0.250, 0.750], [0.250, 0.750, 0.250], [0.750, 0.250, 0.250], [0.750, 0.750, 0.750], [0.000, 0.000, 0.500], [0.000, 0.500, 0.000], [0.500, 0.000, 0.000], [0.500, 0.500, 0.500], [0.250, 0.250, 0.250], [0.250, 0.750, 0.750], [0.750, 0.250, 0.750], [0.750, 0.750, 0.250]]
}



{
  "formula": "Ta2Be2Os",
  "functional": "PBE-GGA",
  "state": "optimized geometry",
  "energy_ev_per_atom": -8.938,
  "rho_g_cm3": 14.620,
  "cell": [[6.271, 0.000, 0.000], [0.000, 6.271, 0.000], [0.000, 0.000, 3.294]],
  "species": ["Ta", "Ta", "Ta", "Ta", "Be", "Be", "Be", "Be", "Os", "Os"],
  "frac_coords": [[0.174, 0.326, 0.000], [0.326, 0.826, 0.000], [0.674, 0.174, 0.000], [0.826, 0.674, 0.000], [0.121, 0.621, 0.500], [0.379, 0.121, 0.500], [0.621, 0.879, 0.500], [0.879, 0.379, 0.500], [0.000, 0.000, 0.500], [0.500, 0.500, 0.500]]
}



{
  "formula": "TaBe2Os2",
  "functional": "PBE-GGA",
  "state": "optimized geometry",
  "energy_ev_per_atom": -8.680,
  "rho_g_cm3": 15.677,
  "cell": [[6.459, 0.000, 0.000], [0.000, 6.459, 0.000], [0.000, 0.000, 2.942]],
  "species": ["Ta", "Ta", "Be", "Be", "Be", "Be", "Os", "Os", "Os", "Os"],
  "frac_coords": [[0.000, 0.000, 0.000], [0.500, 0.500, 0.000], [0.120, 0.380, 0.000], [0.380, 0.880, 0.000], [0.620, 0.120, 0.000], [0.880, 0.620, 0.000], [0.170, 0.670, 0.500], [0.330, 0.170, 0.500], [0.670, 0.830, 0.500], [0.830, 0.330, 0.500]]
}



{
  "formula": "TaBeTlOs",
  "functional": "PBE-GGA",
  "state": "optimized geometry",
  "energy_ev_per_atom": -6.751,
  "rho_g_cm3": 14.973,
  "cell": [[6.377, 0.000, 0.000], [0.000, 6.377, 0.000], [0.000, 0.000, 6.377]],
  "species": ["Ta", "Ta", "Ta", "Ta", "Be", "Be", "Be", "Be", "Tl", "Tl", "Tl", "Tl", "Os", "Os", "Os", "Os"],
  "frac_coords": [[0.000, 0.000, 0.000], [0.000, 0.500, 0.500], [0.500, 0.000, 0.500], [0.500, 0.500, 0.000], [0.000, 0.000, 0.500], [0.000, 0.500, 0.000], [0.500, 0.000, 0.000], [0.500, 0.500, 0.500], [0.250, 0.250, 0.750], [0.250, 0.750, 0.250], [0.750, 0.250, 0.250], [0.750, 0.750, 0.750], [0.250, 0.250, 0.250], [0.250, 0.750, 0.750], [0.750, 0.250, 0.750], [0.750, 0.750, 0.250]]
}



{
  "formula": "TaBeTlOs",
  "functional": "PBE-GGA",
  "state": "optimized geometry",
  "energy_ev_per_atom": -6.544,
  "rho_g_cm3": 15.308,
  "cell": [[6.330, 0.000, 0.000], [0.000, 6.330, 0.000], [0.000, 0.000, 6.330]],
  "species": ["Ta", "Ta", "Ta", "Ta", "Be", "Be", "Be", "Be", "Tl", "Tl", "Tl", "Tl", "Os", "Os", "Os", "Os"],
  "frac_coords": [[0.000, 0.000, 0.000], [0.000, 0.500, 0.500], [0.500, 0.000, 0.500], [0.500, 0.500, 0.000], [0.250, 0.250, 0.250], [0.250, 0.750, 0.750], [0.750, 0.250, 0.750], [0.750, 0.750, 0.250], [0.250, 0.250, 0.750], [0.250, 0.750, 0.250], [0.750, 0.250, 0.250], [0.750, 0.750, 0.750], [0.000, 0.000, 0.500], [0.000, 0.500, 0.000], [0.500, 0.000, 0.000], [0.500, 0.500, 0.500]]
}



{
  "formula": "TaBeTlOs",
  "functional": "PBE-GGA",
  "state": "optimized geometry",
  "energy_ev_per_atom": -6.849,
  "rho_g_cm3": 15.107,
  "cell": [[6.358, 0.000, 0.000], [0.000, 6.358, 0.000], [0.000, 0.000, 6.358]],
  "species": ["Ta", "Ta", "Ta", "Ta", "Be", "Be", "Be", "Be", "Tl", "Tl", "Tl", "Tl", "Os", "Os", "Os", "Os"],
  "frac_coords": [[0.000, 0.000, 0.000], [0.000, 0.500, 0.500], [0.500, 0.000, 0.500], [0.500, 0.500, 0.000], [0.250, 0.250, 0.250], [0.250, 0.750, 0.750], [0.750, 0.250, 0.750], [0.750, 0.750, 0.250], [0.000, 0.000, 0.500], [0.000, 0.500, 0.000], [0.500, 0.000, 0.000], [0.500, 0.500, 0.500], [0.250, 0.250, 0.750], [0.250, 0.750, 0.250], [0.750, 0.250, 0.250], [0.750, 0.750, 0.750]]
}



{
  "formula": "Be2TcOs",
  "functional": "PBE-GGA",
  "state": "optimized geometry",
  "energy_ev_per_atom": -7.318,
  "rho_g_cm3": 10.683,
  "cell": [[5.753, 0.000, 0.000], [0.000, 5.753, 0.000], [0.000, 0.000, 5.753]],
  "species": ["Be", "Be", "Be", "Be", "Be", "Be", "Be", "Be", "Tc", "Tc", "Tc", "Tc", "Os", "Os", "Os", "Os"],
  "frac_coords": [[0.000, 0.000, 0.000], [0.000, 0.500, 0.500], [0.250, 0.250, 0.250], [0.250, 0.750, 0.750], [0.500, 0.000, 0.500], [0.500, 0.500, 0.000], [0.750, 0.250, 0.750], [0.750, 0.750, 0.250], [0.000, 0.000, 0.500], [0.000, 0.500, 0.000], [0.500, 0.000, 0.000], [0.500, 0.500, 0.500], [0.250, 0.250, 0.750], [0.250, 0.750, 0.250], [0.750, 0.250, 0.250], [0.750, 0.750, 0.750]]
}



{
  "formula": "BeTc3Os",
  "functional": "PBE-GGA",
  "state": "optimized geometry",
  "energy_ev_per_atom": -8.626,
  "rho_g_cm3": 12.028,
  "cell": [[4.084, 0.000, 0.000], [0.000, 4.084, 0.000], [0.000, 0.000, 4.084]],
  "species": ["Be", "Tc", "Tc", "Tc", "Os"],
  "frac_coords": [[0.000, 0.000, 0.000], [0.000, 0.000, 0.500], [0.000, 0.500, 0.000], [0.500, 0.000, 0.000], [0.500, 0.500, 0.500]]
}



{
  "formula": "BeTeOs",
  "functional": "PBE-GGA",
  "state": "optimized geometry",
  "energy_ev_per_atom": -5.549,
  "rho_g_cm3": 10.195,
  "cell": [[5.972, 0.000, 0.000], [0.000, 5.972, 0.000], [0.000, 0.000, 5.972]],
  "species": ["Be", "Be", "Be", "Be", "Te", "Te", "Te", "Te", "Os", "Os", "Os", "Os"],
  "frac_coords": [[0.000, 0.000, 0.000], [0.000, 0.500, 0.500], [0.500, 0.000, 0.500], [0.500, 0.500, 0.000], [0.000, 0.000, 0.500], [0.000, 0.500, 0.000], [0.500, 0.000, 0.000], [0.500, 0.500, 0.500], [0.250, 0.250, 0.250], [0.250, 0.750, 0.750], [0.750, 0.250, 0.750], [0.750, 0.750, 0.250]]
}



{
  "formula": "BeZnTeOs",
  "functional": "PBE-GGA",
  "state": "optimized geometry",
  "energy_ev_per_atom": -4.173,
  "rho_g_cm3": 10.439,
  "cell": [[6.296, 0.000, 0.000], [0.000, 6.296, 0.000], [0.000, 0.000, 6.296]],
  "species": ["Be", "Be", "Be", "Be", "Zn", "Zn", "Zn", "Zn", "Te", "Te", "Te", "Te", "Os", "Os", "Os", "Os"],
  "frac_coords": [[0.000, 0.000, 0.000], [0.000, 0.500, 0.500], [0.500, 0.000, 0.500], [0.500, 0.500, 0.000], [0.250, 0.250, 0.750], [0.250, 0.750, 0.250], [0.750, 0.250, 0.250], [0.750, 0.750, 0.750], [0.000, 0.000, 0.500], [0.000, 0.500, 0.000], [0.500, 0.000, 0.000], [0.500, 0.500, 0.500], [0.250, 0.250, 0.250], [0.250, 0.750, 0.750], [0.750, 0.250, 0.750], [0.750, 0.750, 0.250]]
}



{
  "formula": "BeZnTeOs",
  "functional": "PBE-GGA",
  "state": "optimized geometry",
  "energy_ev_per_atom": -4.055,
  "rho_g_cm3": 10.356,
  "cell": [[6.313, 0.000, 0.000], [0.000, 6.313, 0.000], [0.000, 0.000, 6.313]],
  "species": ["Be", "Be", "Be", "Be", "Zn", "Zn", "Zn", "Zn", "Te", "Te", "Te", "Te", "Os", "Os", "Os", "Os"],
  "frac_coords": [[0.000, 0.000, 0.000], [0.000, 0.500, 0.500], [0.500, 0.000, 0.500], [0.500, 0.500, 0.000], [0.000, 0.000, 0.500], [0.000, 0.500, 0.000], [0.500, 0.000, 0.000], [0.500, 0.500, 0.500], [0.250, 0.250, 0.250], [0.250, 0.750, 0.750], [0.750, 0.250, 0.750], [0.750, 0.750, 0.250], [0.250, 0.250, 0.750], [0.250, 0.750, 0.250], [0.750, 0.250, 0.250], [0.750, 0.750, 0.750]]
}



{
  "formula": "BeTlOs2",
  "functional": "PBE-GGA",
  "state": "optimized geometry",
  "energy_ev_per_atom": -6.186,
  "rho_g_cm3": 16.139,
  "cell": [[6.252, 0.000, 0.000], [0.000, 6.252, 0.000], [0.000, 0.000, 6.252]],
  "species": ["Be", "Be", "Be", "Be", "Tl", "Tl", "Tl", "Tl", "Os", "Os", "Os", "Os", "Os", "Os", "Os", "Os"],
  "frac_coords": [[0.000, 0.000, 0.000], [0.000, 0.500, 0.500], [0.500, 0.000, 0.500], [0.500, 0.500, 0.000], [0.250, 0.250, 0.750], [0.250, 0.750, 0.250], [0.750, 0.250, 0.250], [0.750, 0.750, 0.750], [0.000, 0.000, 0.500], [0.000, 0.500, 0.000], [0.250, 0.250, 0.250], [0.250, 0.750, 0.750], [0.500, 0.000, 0.000], [0.500, 0.500, 0.500], [0.750, 0.250, 0.750], [0.750, 0.750, 0.250]]
}



{
  "formula": "Be2TlOs",
  "functional": "PBE-GGA",
  "state": "optimized geometry",
  "energy_ev_per_atom": -4.392,
  "rho_g_cm3": 11.904,
  "cell": [[6.129, 0.000, 0.000], [0.000, 6.129, 0.000], [0.000, 0.000, 6.129]],
  "species": ["Be", "Be", "Be", "Be", "Be", "Be", "Be", "Be", "Tl", "Tl", "Tl", "Tl", "Os", "Os", "Os", "Os"],
  "frac_coords": [[0.000, 0.000, 0.000], [0.000, 0.500, 0.500], [0.250, 0.250, 0.250], [0.250, 0.750, 0.750], [0.500, 0.000, 0.500], [0.500, 0.500, 0.000], [0.750, 0.250, 0.750], [0.750, 0.750, 0.250], [0.000, 0.000, 0.500], [0.000, 0.500, 0.000], [0.500, 0.000, 0.000], [0.500, 0.500, 0.500], [0.250, 0.250, 0.750], [0.250, 0.750, 0.250], [0.750, 0.250, 0.250], [0.750, 0.750, 0.750]]
}



{
  "formula": "TmBeOs3",
  "functional": "PBE-GGA",
  "state": "optimized geometry",
  "energy_ev_per_atom": -8.100,
  "rho_g_cm3": 16.237,
  "cell": [[4.246, 0.000, 0.000], [0.000, 4.246, 0.000], [0.000, 0.000, 4.246]],
  "species": ["Tm", "Be", "Os", "Os", "Os"],
  "frac_coords": [[0.000, 0.000, 0.000], [0.500, 0.500, 0.500], [0.000, 0.500, 0.500], [0.500, 0.000, 0.500], [0.500, 0.500, 0.000]]
}